Ti2HgPb2 after structural relaxation, computed with GGA-PBE.

Properties
E_form, eV/atom: 0.074
DOS at the Fermi energy, states/eV per cell: 9.5
Space group: P4/mbm
Relative energy among the computed polymorphs, kcal/mol of atoms: 0.00

Cell: 7.3915 7.3915 4.1071 Å, 90.00 90.00 90.00°
Atoms (fractional coordinates):
Ti: 0.1304 0.3696 0.0000
Ti: 0.3696 0.8696 0.0000
Ti: 0.6304 0.1304 0.0000
Ti: 0.8696 0.6304 0.0000
Hg: 0.0000 0.0000 0.0000
Hg: 0.5000 0.5000 0.0000
Pb: 0.1707 0.6707 0.5000
Pb: 0.3293 0.1707 0.5000
Pb: 0.6707 0.8293 0.5000
Pb: 0.8293 0.3293 0.5000